1.
The following is a DFT calculation (PBE) of crystalline AcAl4Co at its relaxed geometry.

Summary:
- Density of states at the Fermi level: 0.23 states/eV/atom
- Spin magnetization: 0.000 μB/atom
- Energy: -57.8 eV/cell

a b c (Å): 7.7643 4.0827 7.3191
angles (deg): 90.00 90.00 90.00
Space group Pmma (No. 51)
Symmetry-distinct sites (fractional):
Ac (0.2500, 0.0000, 0.1031) (multiplicity 2)
Al (0.0000, 0.0000, 0.5000) (multiplicity 2)
Al (0.0726, 0.5000, 0.7705) (multiplicity 4)
Al (0.2500, 0.5000, 0.4521) (multiplicity 2)
Co (0.2500, 0.0000, 0.6733) (multiplicity 2)

***

2.
The following is a DFT calculation (PBE) of crystalline TbDyCdRu at its relaxed geometry.

Summary:
- Density of states at the Fermi level: 0.87 states/eV/atom
- Energy relative to the lowest polymorph listed for this composition: 0 meV per atom
- Spin magnetization: 0.000 μB/atom

a b c (Å): 3.4689 3.4689 7.7054
angles (deg): 90.00 90.00 90.00
Space group P4mm (No. 99)
Symmetry-distinct sites (fractional):
Tb (0.0000, 0.0000, 0.0000) (multiplicity 1)
Dy (0.0000, 0.0000, 0.5698) (multiplicity 1)
Cd (0.5000, 0.5000, 0.2867) (multiplicity 1)
Ru (0.5000, 0.5000, 0.7835) (multiplicity 1)

***

3.
The following is a DFT calculation (PBE) of crystalline HfCrSn3 at its relaxed geometry.

Summary:
- Density of states at the Fermi level: 1.04 states/eV/atom
- Energy relative to the lowest polymorph listed for this composition: 0 meV per atom
- Spin magnetization: 0.312 μB/atom

a b c (Å): 5.0167 5.0167 5.0167
angles (deg): 90.00 90.00 90.00
Space group Pm-3m (No. 221)
Symmetry-distinct sites (fractional):
Hf (0.0000, 0.0000, 0.0000) (multiplicity 1)
Cr (0.5000, 0.5000, 0.5000) (multiplicity 1)
Sn (0.0000, 0.5000, 0.5000) (multiplicity 3)